No. 1
{"formula": "Pt2AuBr", "functional": "PBEsol", "state": "relaxed", "cell": [[-0.9197, 0.4395, -3.0124], [1.3994, -2.7336, -0.8261], [-6.0223, -3.4848, 1.3302]], "species": ["Pt", "Br", "Au", "Pt"], "fractional_positions": [[0.5000, 0.5000, 0.2333], [0.5000, 0.5000, 0.7752], [0.0000, 0.0000, 0.4588], [0.0000, 0.0000, 0.0326]], "space_group": "P4mm", "energy_ev_per_atom": -4.51, "dos_ef_per_ev_atom": 1.00, "e_form_raw_ev_per_atom": 0.416}

=====

No. 2
{"formula": "NaReRh2", "functional": "PBEsol", "state": "relaxed", "cell": [[-2.0215, 3.8293, 0.1346], [-4.1928, 0.2742, -1.0550], [-2.9586, 0.7809, 3.0667]], "species": ["Rh", "Na", "Re", "Rh"], "fractional_positions": [[0.2500, 0.2500, 0.2500], [0.0000, 0.0000, 0.0000], [0.5000, 0.5000, 0.5000], [0.7500, 0.7500, 0.7500]], "space_group": "Fm-3m", "energy_ev_per_atom": -7.21, "dos_ef_per_ev_atom": 1.30, "formation_energy_ev_per_fu": 2.17}

=====

No. 3
{"formula": "ScTlTe2", "functional": "PBEsol", "state": "relaxed", "cell": [[3.7883, 0.0000, 0.0000], [0.0000, 5.2612, 0.0000], [0.0000, 0.0000, 5.2612]], "species": ["Te", "Tl", "Sc", "Te"], "fractional_positions": [[0.0000, 0.0000, 0.5000], [0.5000, 0.5000, 0.5000], [0.5000, 0.0000, 0.0000], [0.0000, 0.5000, 0.0000]], "space_group": "P4/mmm", "energy_ev_per_atom": -4.52, "dos_ef_per_ev_atom": 0.54, "e_form_raw_ev_per_atom": -0.447}